# 1
A relaxed structure of FeOs4Cl, computed with GGA-PBE.

a = 5.199 Å, b = 5.199 Å, c = 5.199 Å
α = 60.00°, β = 60.00°, γ = 60.00°
Positions (direct):
Os1 0.876 0.375 0.375
Os2 0.375 0.375 0.375
Fe1 0.000 0.000 0.000
Cl1 0.750 0.750 0.750
Os3 0.375 0.876 0.375
Os4 0.375 0.375 0.876

Energy in eV/atom: -7.8131
SG: F-43m
M_tot in μB/f.u.: 1.61



# 2
A relaxed structure of FeOsCl2, computed with GGA-PBE.

a = 4.408 Å, b = 4.408 Å, c = 3.040 Å
α = 90.00°, β = 90.00°, γ = 90.00°
Positions (direct):
Fe1 0.500 0.000 0.500
Os1 0.000 0.500 0.500
Cl1 0.000 0.000 0.000
Cl2 0.500 0.500 0.000

Energy in eV/atom: -4.7340
Polymorph energy (0 for the lowest one) in kJ/mol of formula units: 388
SG: P4/mmm
M_tot in μB/f.u.: 3.56



# 3
A relaxed structure of Fe2OsCl, computed with GGA-PBE.

a = 2.807 Å, b = 2.807 Å, c = 7.033 Å
α = 90.00°, β = 90.00°, γ = 90.00°
Positions (direct):
Fe1 0.000 0.000 0.007
Fe2 0.000 0.000 0.493
Os1 0.500 0.500 0.250
Cl1 0.500 0.500 0.750

Energy in eV/atom: -7.1130
Polymorph energy (0 for the lowest one) in kJ/mol of formula units: 35
SG: P4/mmm
M_tot in μB/f.u.: 5.14



# 4
A relaxed structure of FeOs2Cl, computed with GGA-PBE.

a = 3.980 Å, b = 2.809 Å, c = 5.270 Å
α = 74.46°, β = 90.00°, γ = 90.00°
Positions (direct):
Cl1 0.500 0.250 0.250
Os1 0.000 0.357 0.501
Fe1 0.500 0.750 0.750
Os2 0.000 0.143 0.999

Energy in eV/atom: -7.2600
Polymorph energy (0 for the lowest one) in kJ/mol of formula units: 203
SG: P2/m
M_tot in μB/f.u.: 2.50



# 5
A relaxed structure of FeOs2Cl, computed with GGA-PBE.

a = 5.824 Å, b = 5.824 Å, c = 3.952 Å
α = 80.87°, β = 80.87°, γ = 27.35°
Positions (direct):
Os1 0.954 0.954 0.031
Fe1 0.250 0.250 0.250
Cl1 0.750 0.750 0.750
Os2 0.546 0.546 0.469

Energy in eV/atom: -7.5278
Polymorph energy (0 for the lowest one) in kJ/mol of formula units: 99
SG: C2/m
M_tot in μB/f.u.: 2.82



# 6
A relaxed structure of FeOsCl2, computed with GGA-PBE.

a = 10.022 Å, b = 10.022 Å, c = 10.022 Å
α = 17.19°, β = 17.19°, γ = 17.19°
Positions (direct):
Cl1 0.972 0.972 0.972
Fe1 0.250 0.250 0.250
Os1 0.750 0.750 0.750
Cl2 0.528 0.528 0.528

Energy in eV/atom: -5.1419
Polymorph energy (0 for the lowest one) in kJ/mol of formula units: 231
SG: R-3m
M_tot in μB/f.u.: 1.64



# 7
A relaxed structure of FeOsCl2, computed with GGA-PBE.

a = 2.859 Å, b = 2.859 Å, c = 10.023 Å
α = 90.00°, β = 90.00°, γ = 90.00°
Positions (direct):
Fe1 0.500 0.500 0.250
Cl1 0.000 0.000 0.404
Cl2 0.000 0.000 0.096
Os1 0.500 0.500 0.750

Energy in eV/atom: -4.9203
Polymorph energy (0 for the lowest one) in kJ/mol of formula units: 317
SG: P4/mmm
M_tot in μB/f.u.: 6.09



# 8
A relaxed structure of FeOs2Cl, computed with GGA-PBE.

a = 8.594 Å, b = 8.594 Å, c = 8.594 Å
α = 18.71°, β = 18.71°, γ = 18.71°
Positions (direct):
Os1 0.495 0.495 0.495
Cl1 0.250 0.250 0.250
Os2 0.005 0.005 0.005
Fe1 0.750 0.750 0.750

Energy in eV/atom: -7.5409
Polymorph energy (0 for the lowest one) in kJ/mol of formula units: 94
SG: R-3m
M_tot in μB/f.u.: 2.25



- Look up the M_tot of the third one.
  5.14 μB/f.u.